A plane-wave DFT calculation with GGA-PBE was carried out for a geometry-optimized DyYInRu structure.

The structure in POSCAR format:
```
DyYInRu
1.0
3.480 0.000 0.000
0.000 3.480 0.000
0.000 0.000 7.712
Dy Y In Ru
1 1 1 1
direct
0.500 0.500 0.358 Dy
0.500 0.500 0.786 Y
0.000 0.000 0.072 In
0.000 0.000 0.569 Ru
```

Calculated values
As for the space group: P4mm. Its magnetic moment is 0.0000 μB per atom. The calculation puts the formation energy at -0.46 eV per atom. The total energy is -6.228 eV per atom. The calculation puts the density at 8.308 g/cm³.